(1)
Computed, not measured: crystalline BaBePt2 at its relaxed geometry at the PBE level of DFT.

The final energy comes out at -4.24 eV/atom. Its space-group type is No. 65.

```
BaBePt2
1.0
-2.821 -2.164 -3.116
0.768 -3.490 3.096
-2.997 1.080 1.962
Be Pt Ba
1 2 1
Direct
0.000 0.500 0.500
0.500 0.500 0.000
0.000 0.000 0.000
0.500 0.000 0.500
```

---

(2)
Computed, not measured: crystalline BaBe2Pt2 at its relaxed geometry at the PBE level of DFT.

Its space-group type is No. 127. For the energy above the most stable polymorph in this dataset, the calculation gives 132 kJ/mol of formula units.

```
BaBe2Pt2
1.0
-0.333 -7.370 2.075
7.656 -0.314 0.113
-0.009 0.802 2.848
Ba Pt Be
2 4 4
Direct
0.500 0.500 0.000
0.000 0.000 0.000
0.359 0.141 0.500
0.859 0.359 0.500
0.641 0.859 0.500
0.141 0.641 0.500
0.604 0.104 0.000
0.896 0.604 0.000
0.396 0.896 0.000
0.104 0.396 0.000
```

---

(3)
Computed, not measured: crystalline BaBe2Pt at its relaxed geometry at the PBE level of DFT.

Its space-group type is No. 65. For the energy above the most stable polymorph in this dataset, the calculation gives 449 kJ/mol of formula units.

```
BaBe2Pt
1.0
4.859 0.009 0.000
-0.021 4.859 0.000
0.000 0.000 2.987
Be Pt Ba
2 1 1
Direct
0.000 0.000 0.000
0.500 0.500 0.000
0.500 0.000 0.500
0.000 0.500 0.500
```

---

(4)
Computed, not measured: crystalline BaBe2Pt at its relaxed geometry at the PBE level of DFT.

Its space-group type is No. 47. For the energy above the most stable polymorph in this dataset, the calculation gives 451 kJ/mol of formula units.

```
BaBe2Pt
1.0
-1.446 -3.084 -2.188
4.090 -1.628 -0.408
-0.617 -2.555 4.009
Be Ba Pt
2 1 1
Direct
0.500 0.500 0.000
0.000 0.000 0.000
0.000 0.500 0.500
0.500 0.000 0.500
```